SnMoPCl2: optimized geometry, GGA-PBE.

a = 4.875 Å, b = 4.875 Å, c = 4.866 Å
α = 90.00°, β = 90.00°, γ = 90.00°
Atoms (fractional coordinates):
Sn 0.000 0.000 0.000
Mo 0.500 0.500 0.500
P 0.500 0.500 0.000
Cl 0.000 0.500 0.500
Cl 0.500 0.000 0.500

Results
Crystal system: tetragonal
SG: P4/mmm (123)
Raw formation energy (eV per atom): 0.069
Energy above the most stable polymorph in this dataset (meV per atom): 0

***

TcTeSe2: optimized geometry, GGA-PBE.

a = 10.160 Å, b = 10.160 Å, c = 10.160 Å
α = 18.31°, β = 18.31°, γ = 18.31°
Atoms (fractional coordinates):
Tc 0.000 0.000 0.000
Te 0.500 0.500 0.500
Se 0.275 0.275 0.275
Se 0.725 0.725 0.725

Results
Crystal system: trigonal
SG: R-3m (166)
Raw formation energy (eV per atom): -0.070

***

Er4TmTh: optimized geometry, GGA-PBE.

a = 6.479 Å, b = 6.479 Å, c = 6.479 Å
α = 60.00°, β = 60.00°, γ = 60.00°
Atoms (fractional coordinates):
Er 0.125 0.125 0.125
Er 0.125 0.125 0.624
Er 0.125 0.624 0.125
Er 0.624 0.125 0.125
Tm 0.750 0.750 0.750
Th 0.500 0.500 0.500

Results
Crystal system: cubic
SG: F-43m (216)
ΔE_f (eV/atom): 0.324
Energy above the most stable polymorph in this dataset (meV per atom): 327

***

KTl6O8: optimized geometry, GGA-PBE.

a = 9.728 Å, b = 9.728 Å, c = 3.756 Å
α = 90.00°, β = 90.00°, γ = 120.00°
Atoms (fractional coordinates):
K 0.000 0.000 0.000
Tl 0.165 0.754 0.742
Tl 0.246 0.410 0.742
Tl 0.410 0.165 0.258
Tl 0.590 0.835 0.742
Tl 0.754 0.590 0.258
Tl 0.835 0.246 0.258
O 0.025 0.723 0.240
O 0.277 0.302 0.240
O 0.302 0.025 0.760
O 0.333 0.667 0.646
O 0.667 0.333 0.354
O 0.698 0.975 0.240
O 0.723 0.698 0.760
O 0.975 0.277 0.760

Results
Crystal system: trigonal
SG: P-3 (147)
Raw formation energy (eV per atom): -0.681
Energy above the most stable polymorph in this dataset (meV per atom): 0

***

PuZn2Pd3: optimized geometry, GGA-PBE.

a = 3.141 Å, b = 3.141 Å, c = 10.125 Å
α = 90.00°, β = 90.00°, γ = 90.00°
Atoms (fractional coordinates):
Pu 0.000 0.000 0.000
Zn 0.000 0.000 0.352
Zn 0.000 0.000 0.648
Pd 0.500 0.500 0.208
Pd 0.500 0.500 0.500
Pd 0.500 0.500 0.792

Results
Crystal system: tetragonal
SG: P4/mmm (123)
ΔE_f (eV/atom): -0.472

***

AlTeSeI2: optimized geometry, GGA-PBE.

a = 5.346 Å, b = 5.346 Å, c = 5.719 Å
α = 90.00°, β = 90.00°, γ = 90.00°
Atoms (fractional coordinates):
Al 0.000 0.000 0.000
Te 0.000 0.000 0.500
Se 0.500 0.500 0.500
I 0.000 0.500 0.000
I 0.500 0.000 0.000

Results
Crystal system: tetragonal
SG: P4/mmm (123)
Raw formation energy (eV per atom): 0.321
Energy above the most stable polymorph in this dataset (meV per atom): 0

***

Number 1: spin magnetization 1.884 μB per cell, calculated total energy -4.719 eV per atom. Number 2: spin magnetization 0.000 μB per cell, calculated total energy -5.190 eV per atom. Number 3: spin magnetization 1.699 μB per cell, calculated total energy -4.700 eV per atom. Number 4: spin magnetization 0.000 μB per cell, calculated total energy -4.345 eV per atom. Number 5: spin magnetization 5.521 μB per cell, calculated total energy -5.882 eV per atom. Number 6: spin magnetization 0.861 μB per cell, calculated total energy -2.372 eV per atom.